[1]
First-principles (PBE) data for crystalline EuDySc at its relaxed geometry, as listed in Alexandria.

Lattice parameters (Å, degrees): 3.538 3.538 8.618 90.00 90.00 120.00
Atoms (fractional coordinates):
Dy (0.333, 0.667, 0.647)
Eu (0.000, 0.000, 0.008)
Sc (0.667, 0.333, 0.345)

Results
space-group type	No. 156
relative energy among the computed polymorphs	0.4	kJ/mol of atoms

---

[2]
First-principles (PBE) data for crystalline AcAl5Au2 at its relaxed geometry, as listed in Alexandria.

Lattice parameters (Å, degrees): 4.279 6.654 6.654 67.67 71.24 71.24
Atoms (fractional coordinates):
Al (0.642, 0.544, 0.173)
Al (0.642, 0.173, 0.544)
Al (0.358, 0.456, 0.827)
Al (0.358, 0.827, 0.456)
Al (0.000, 0.500, 0.500)
Au (0.247, 0.253, 0.253)
Au (0.753, 0.747, 0.747)
Ac (0.000, 0.000, 0.000)

Results
space-group type	No. 71

---

[3]
First-principles (PBE) data for crystalline Tb5DyEr5 at its relaxed geometry, as listed in Alexandria.

Lattice parameters (Å, degrees): 5.867 9.803 6.906 110.47 90.00 107.41
Atoms (fractional coordinates):
Er (0.623, 0.247, 0.624)
Er (0.000, 0.000, 0.500)
Er (0.669, 0.338, 0.170)
Er (0.331, 0.662, 0.830)
Er (0.377, 0.753, 0.376)
Tb (0.178, 0.356, 0.424)
Tb (0.822, 0.644, 0.067)
Tb (0.822, 0.644, 0.576)
Tb (0.500, 0.000, 0.000)
Tb (0.178, 0.356, 0.933)
Dy (0.000, 0.000, 0.000)

Results
space-group type	No. 12

---

The records above give, respectively, energy of formation values of 0.11; -0.49; 0.28 eV/atom.
The records above give, respectively, total magnetization values of 7.3; 0.0; 0.8 μB per formula unit.